Compound: ZnP
Source: the Alexandria database
Functional: PBE-GGA
Structure: optimized geometry

```
ZnP
1.0
5.5484 0.0000 0.0000
0.0000 7.4564 0.0000
0.0000 0.0000 8.4589
Zn P
8 8
Cartesian
0.3699 0.7538 0.1900
1.3754 5.0346 7.1674
1.3987 2.4218 2.9379
2.4043 6.7025 4.4194
3.1440 2.9743 8.2689
4.1496 6.1499 1.2915
4.1729 1.3064 5.5209
5.1785 4.4820 4.0394
0.5647 0.6710 4.2745
0.9694 2.9802 0.7025
1.8048 4.4761 4.9319
2.2095 6.7854 0.0451
3.3388 3.0572 4.1843
3.7436 0.7479 7.7564
4.5789 6.7084 3.5269
4.9837 4.3992 8.4138
```

Summary:
VASP energy = -3.396 eV per atom
symmetry = P2_12_12_1
crystal system = orthorhombic
energy of formation from the pure elements = -0.05 eV per atom